No. 1
This record from Alexandria via LeMat-Bulk describes a relaxed YMgTlI2 crystal. The functional is PBEsol.

POSCAR file:
```
YMgTlI2
1.0
5.440 0.000 0.000
0.000 5.440 0.000
0.000 0.000 5.652
Y Mg Tl I
1 1 1 2
Direct
0.000 0.000 0.000
0.500 0.500 0.500
0.500 0.500 0.000
0.000 0.500 0.500
0.500 0.000 0.500
```

Summary:
* energy relative to the elements, uncorrected: 0.04 eV/atom
* magnetization: 0.0 μB/cell

=====

No. 2
This record from Alexandria via LeMat-Bulk describes a relaxed Ni2Pt crystal. The functional is PBEsol.

POSCAR file:
```
Ni2Pt
1.0
4.467 0.000 0.000
1.503 4.911 0.000
1.472 0.956 6.598
Ni Pt
8 4
Direct
0.240 0.079 0.422
0.241 0.917 0.086
0.246 0.586 0.421
0.252 0.750 0.740
0.748 0.250 0.260
0.754 0.414 0.579
0.759 0.083 0.914
0.760 0.921 0.578
0.255 0.405 0.094
0.263 0.239 0.741
0.737 0.761 0.259
0.745 0.595 0.906
```

Summary:
* total DFT energy (no corrections): -6.476 eV per atom
* magnetization: 6.9 μB/cell

=====

No. 3
This record from Alexandria via LeMat-Bulk describes a relaxed Mn2TeMo crystal. The functional is PBEsol.

POSCAR file:
```
Mn2TeMo
1.0
3.410 0.000 0.000
0.000 4.065 0.000
0.000 0.000 8.244
Mn Te Mo
4 2 2
Direct
0.000 0.000 0.000
0.000 0.500 0.268
0.500 0.000 0.768
0.500 0.500 0.500
0.000 0.000 0.522
0.500 0.500 0.022
0.000 0.500 0.763
0.500 0.000 0.263
```

Summary:
* energy relative to the elements, uncorrected: 0.35 eV/atom
* magnetization: 7.0 μB/cell